This record from the Alexandria database describes a geometry-optimized CdIn8Ag2 structure. The functional is PBE.

Computed properties:
For the total energy, the calculation gives -2.510 eV/atom. As for the formation enthalpy at 0 K: 0.08 eV per atom. The calculation puts the density of states at the Fermi level at 3.2 states/eV/f.u.

Cell lengths 13.234, 8.762, 5.446 Å; angles 90.00, 110.44, 90.00 degrees
Space group C2/m (No. 12)
Inequivalent atoms, fractional coordinates:
Cd  0.000  0.000  0.000 [2 per cell]
In  0.101  0.292  0.853 [8 per cell]
In  0.107  0.500  0.349 [4 per cell]
In  0.141  0.000  0.568 [4 per cell]
Ag  0.227  0.000  0.139 [4 per cell]